Entry 1:
The following is a PBE calculation of an optimized crystal structure of Sr2Ga5Hg, from Alexandria via LeMat-Bulk.

Structure (POSCAR):
```
Sr2Ga5Hg
1.0
4.5436 0.0000 0.0000
-2.2718 8.8218 0.0000
0.0000 0.0000 9.4861
Ga Hg Sr
10 2 4
Direct
0.8094 0.6188 0.3927 Ga
0.4029 0.8058 0.2500 Ga
0.3482 0.6963 0.9852 Ga
0.1906 0.3812 0.8927 Ga
0.5971 0.1942 0.7500 Ga
0.3482 0.6963 0.5148 Ga
0.1906 0.3812 0.6073 Ga
0.6518 0.3037 0.0148 Ga
0.6518 0.3037 0.4852 Ga
0.8094 0.6188 0.1073 Ga
0.5565 0.1130 0.2500 Hg
0.4435 0.8870 0.7500 Hg
0.2009 0.4017 0.2500 Sr
0.7991 0.5983 0.7500 Sr
0.0000 0.0000 0.0000 Sr
0.0000 0.0000 0.5000 Sr
```

## Properties
Calculated density in g/cm3: 6.33
DOS at the Fermi energy in states/eV/atom: 0.28
SG: No. 63
ΔE_f in meV per atom: -419
Calculated total energy in eV per atom: -2.769

=====

Entry 2:
The following is a PBE calculation of an optimized crystal structure of InTcHg2, from Alexandria via LeMat-Bulk.

Structure (POSCAR):
```
InTcHg2
1.0
-6.1127 -5.7449 5.2022
-3.7812 -7.8014 4.7193
-3.6259 -5.7846 7.1290
Hg Tc In
2 1 1
Direct
0.4936 0.4936 0.4936 Hg
0.0064 0.0064 0.0064 Hg
0.7500 0.7500 0.7500 Tc
0.2500 0.2500 0.2500 In
```

## Properties
Calculated density in g/cm3: 12.26
DOS at the Fermi energy in states/eV/atom: 0.83
SG: No. 166
ΔE_f in meV per atom: 503
Calculated total energy in eV per atom: -2.924

=====

Entry 3:
The following is a PBE calculation of an optimized crystal structure of Mg2SiP, from Alexandria via LeMat-Bulk.

Structure (POSCAR):
```
Mg2SiP
1.0
4.6386 0.0000 0.0000
2.3193 4.0172 0.0000
2.3193 1.3391 3.7874
Mg P Si
2 1 1
Direct
0.2500 0.2500 0.2500 Mg
0.0000 0.0000 0.0000 Mg
0.5000 0.5000 0.5000 P
0.7500 0.7500 0.7500 Si
```

## Properties
Offset from the most stable computed form in eV per atom: 0.293
Calculated density in g/cm3: 2.53
DOS at the Fermi energy in states/eV/atom: 0.54
SG: No. 216
Calculated total energy in eV per atom: -3.253

=====

Question: Among the records above, which one has the highest DOS at the Fermi energy?
Answer: InTcHg2